Entry 1:
This record from Alexandria describes crystalline DyInNiRu at its relaxed geometry. The functional is GGA-PBE.

Cell lengths 4.652, 4.652, 4.652 Å; angles 60.00, 60.00, 60.00 degrees
Atoms (fractional coordinates):
Ru (0.750, 0.750, 0.750)
In (0.000, 0.000, 0.000)
Ni (0.250, 0.250, 0.250)
Dy (0.500, 0.500, 0.500)

Computed properties:
* raw total energy: -5.870 eV/atom
* space-group type: F-43m (216)
* energy of formation from the pure elements: -0.2702 eV per atom


Entry 2:
This record from Alexandria describes crystalline BaFe4Ag at its relaxed geometry. The functional is GGA-PBE.

Cell lengths 5.274, 5.274, 5.274 Å; angles 60.00, 60.00, 60.00 degrees
Site moments in Bohr magnetons follow the coordinates.
Atoms (fractional coordinates):
Ba (0.000, 0.000, 0.000)  -0.04
Fe (0.863, 0.379, 0.379)  2.69
Fe (0.379, 0.379, 0.863)  2.69
Fe (0.379, 0.863, 0.379)  2.69
Fe (0.379, 0.379, 0.379)  2.69
Ag (0.750, 0.750, 0.750)  0.03

Computed properties:
* raw total energy: -5.896 eV/atom
* space-group type: F-43m (216)
* energy of formation from the pure elements: 0.5412 eV per atom


Entry 3:
This record from Alexandria describes crystalline Mg4In5Pt2 at its relaxed geometry. The functional is GGA-PBE.

Cell lengths 3.249, 7.599, 9.667 Å; angles 93.54, 90.00, 90.00 degrees
Atoms (fractional coordinates):
Mg (0.500, 0.806, 0.561)
Mg (0.500, 0.197, 0.853)
Mg (0.500, 0.194, 0.439)
Mg (0.500, 0.803, 0.147)
In (0.000, 0.538, 0.337)
In (0.000, 0.155, 0.147)
In (0.000, 0.500, 0.000)
In (0.000, 0.845, 0.853)
In (0.000, 0.462, 0.663)
Pt (0.000, 0.086, 0.644)
Pt (0.000, 0.914, 0.356)

Computed properties:
* raw total energy: -3.285 eV/atom
* space-group type: P2/m (10)
* energy of formation from the pure elements: -0.3617 eV per atom


Entry 4:
This record from Alexandria describes crystalline Ac4TePtBr2 at its relaxed geometry. The functional is GGA-PBE.

Cell lengths 4.445, 8.492, 7.978 Å; angles 108.52, 90.00, 90.00 degrees
Atoms (fractional coordinates):
Ac (0.500, 0.273, 0.237)
Ac (0.500, 0.727, 0.763)
Ac (0.000, 0.289, 0.789)
Ac (0.000, 0.711, 0.211)
Te (0.000, 0.000, 0.000)
Pt (0.500, 0.500, 0.000)
Br (0.500, 0.000, 0.500)
Br (0.000, 0.500, 0.500)

Computed properties:
* raw total energy: -4.915 eV/atom
* space-group type: P2/m (10)
* raw formation energy: -1.29 eV/atom